Tl2Co3BiF12 PBE+U relaxed; calculated volume = 288 Å³ per cell; electronic total energy = -4.6552 eV/atom; size of the total moment = 10.00 Bohr magnetons per cell
1.0
7.254 -0.160 -0.114
3.443 6.387 -0.114
3.443 2.004 6.066
F Tl Bi Co
12 2 1 3
Direct
0.116 0.616 0.116 F
0.720 0.720 0.095 F
0.884 0.384 0.884 F
0.095 0.720 0.720 F
0.905 0.280 0.280 F
0.720 0.095 0.720 F
0.280 0.280 0.905 F
0.384 0.884 0.884 F
0.884 0.884 0.384 F
0.280 0.905 0.280 F
0.116 0.116 0.616 F
0.616 0.116 0.116 F
0.383 0.383 0.383 Tl
0.617 0.617 0.617 Tl
0.000 0.000 0.000 Bi
0.000 0.500 0.000 Co
0.000 0.000 0.500 Co
0.500 0.000 0.000 Co